w:
The following is a PBE+U calculation of a relaxed structure of CaLa3Co2O8, from Alexandria.

mass density: 6.255 g cm⁻³
magnetic moment: 3.9 μB per formula unit
SG: No. 1

Structure (POSCAR):
```
CaLa3Co2O8
1.0
6.781 0.000 0.000
-2.145 7.437 0.000
-2.153 -0.855 7.398
Ca La Co O
2 6 4 16
Direct
0.000 0.000 0.000
0.009 0.508 0.502
0.003 0.021 0.490
0.437 0.369 0.862
0.443 0.869 0.363
0.446 0.885 0.852
0.451 0.387 0.351
0.998 0.523 0.982
0.726 0.697 0.676
0.733 0.198 0.178
0.734 0.199 0.678
0.735 0.699 0.178
0.056 0.755 0.775
0.075 0.320 0.735
0.078 0.808 0.241
0.086 0.268 0.306
0.364 0.127 0.047
0.371 0.589 0.107
0.373 0.079 0.614
0.396 0.642 0.574
0.687 0.442 0.671
0.691 0.189 0.413
0.698 0.692 0.914
0.702 0.945 0.173
0.749 0.447 0.180
0.749 0.698 0.437
0.757 0.949 0.683
0.761 0.200 0.940
```



x:
The following is a PBE+U calculation of a relaxed structure of CaLa3Co2O8, from Alexandria.

mass density: 6.263 g cm⁻³
magnetic moment: 5.0 μB per formula unit
SG: No. 6

Structure (POSCAR):
```
CaLa3Co2O8
1.0
5.412 0.000 0.000
0.000 5.440 0.000
-2.687 0.000 6.329
Ca La Co O
1 3 2 8
Direct
0.000 0.000 0.000
0.284 0.000 0.559
0.499 0.500 0.006
0.790 0.500 0.567
0.141 0.500 0.274
0.643 0.000 0.276
0.322 0.500 0.641
0.393 0.255 0.286
0.393 0.745 0.286
0.472 0.000 0.932
0.820 0.000 0.629
0.898 0.257 0.283
0.898 0.743 0.283
0.976 0.500 0.928
```



Of them, w has the highest stability.